1.
VASP calculation (PBE) on crystalline YBe2Sb at its relaxed geometry.

E = -4.7173 eV/atom
Fermi-level density of states = 0.223 states/eV/atom
energy relative to the elements, uncorrected = -4.8 kcal/mol of atoms

Unit cell a=3.9223 b=3.9223 c=16.4474 alpha=90.00 beta=90.00 gamma=120.00
Space group R3m (No. 160, hexagonal axes)
Unique sites:
Y1 0.0000 0.0000 0.0000
Be1 0.0000 0.0000 0.4393
Be2 0.0000 0.0000 0.7754
Sb1 0.0000 0.0000 0.1924

2.
VASP calculation (PBE) on crystalline Nb3BC at its relaxed geometry.

E = -8.7824 eV/atom
Fermi-level density of states = 2.444 states/eV/atom
energy of formation = 440 meV/atom
relative energy among the computed polymorphs = 724.9 meV/atom

Unit cell a=4.2073 b=4.2073 c=4.2073 alpha=90.00 beta=90.00 gamma=90.00
Space group Pm-3m (No. 221)
Unique sites:
Nb1 0.0000 0.0000 0.5000
B1 0.5000 0.5000 0.5000
C1 0.0000 0.0000 0.0000

3.
VASP calculation (PBE) on crystalline VSbOs3 at its relaxed geometry.

E = -7.8320 eV/atom
Fermi-level density of states = 0.648 states/eV/atom
energy relative to the elements, uncorrected = 35.8 kcal/mol of atoms
relative energy among the computed polymorphs = 0.0 meV/atom

Unit cell a=4.5496 b=4.5496 c=4.5496 alpha=90.00 beta=90.00 gamma=90.00
Space group Pm-3m (No. 221)
Unique sites:
V1 0.0000 0.0000 0.0000
Sb1 0.5000 0.5000 0.5000
Os1 0.0000 0.0000 0.5000

4.
VASP calculation (PBE) on crystalline Na4Tl3Sn2 at its relaxed geometry.

E = -2.3848 eV/atom
Fermi-level density of states = 0.422 states/eV/atom
energy of formation = -120 meV/atom

Unit cell a=14.7905 b=4.6226 c=7.7955 alpha=90.00 beta=105.65 gamma=90.00
Space group C2/m (No. 12)
Unique sites:
Na1 0.0435 0.0000 0.3135
Na2 0.2169 0.5000 0.3190
Tl1 0.0000 0.5000 0.0000
Tl2 0.1193 0.5000 0.6737
Sn1 0.1741 0.0000 0.9989

5.
VASP calculation (PBE) on crystalline Ca2TlRh at its relaxed geometry.

E = -3.8020 eV/atom
Fermi-level density of states = 0.642 states/eV/atom
energy of formation = -372 meV/atom
relative energy among the computed polymorphs = 0.0 meV/atom

Unit cell a=3.5746 b=3.4885 c=7.8975 alpha=90.00 beta=90.16 gamma=90.00
Space group P2/m (No. 10)
Unique sites:
Ca1 0.0005 0.0000 0.2086
Tl1 0.5000 0.5000 0.5000
Rh1 0.5000 0.5000 0.0000

6.
VASP calculation (PBE) on crystalline YTmPt2 at its relaxed geometry.

E = -6.9954 eV/atom
Fermi-level density of states = 0.539 states/eV/atom
energy of formation = -1241 meV/atom
relative energy among the computed polymorphs = 46.5 meV/atom

Unit cell a=4.9372 b=4.9372 c=3.4430 alpha=90.00 beta=90.00 gamma=90.00
Space group P4/mmm (No. 123)
Unique sites:
Y1 0.0000 0.0000 0.0000
Tm1 0.5000 0.5000 0.0000
Pt1 0.0000 0.5000 0.5000

7.
VASP calculation (PBE) on crystalline Hf2ScAu2 at its relaxed geometry.

E = -7.0045 eV/atom
Fermi-level density of states = 0.743 states/eV/atom
energy of formation = -446 meV/atom
relative energy among the computed polymorphs = 0.0 meV/atom

Unit cell a=7.7184 b=7.7184 c=3.4911 alpha=90.00 beta=90.00 gamma=90.00
Space group P4/mbm (No. 127)
Unique sites:
Hf1 0.1701 0.3299 0.0000
Sc1 0.0000 0.0000 0.5000
Au1 0.1300 0.6300 0.5000

8.
VASP calculation (PBE) on crystalline Nd8Os3RhI4 at its relaxed geometry.

E = -5.9475 eV/atom
Fermi-level density of states = 0.587 states/eV/atom
energy relative to the elements, uncorrected = -14.1 kcal/mol of atoms

Unit cell a=14.5454 b=8.3856 c=9.4703 alpha=90.00 beta=120.86 gamma=90.00
Space group C2/m (No. 12)
Unique sites:
Nd1 0.0231 0.2457 0.3149
Nd2 0.2289 0.0000 0.6868
Nd3 0.2311 0.5000 0.6848
Os1 0.0000 0.0000 0.5000
Os2 0.2500 0.2500 0.5000
Rh1 0.0000 0.5000 0.5000
I1 0.0000 0.0000 0.0000
I2 0.0000 0.5000 0.0000
I3 0.2500 0.2500 0.0000

9.
VASP calculation (PBE) on crystalline SiNi2Ir at its relaxed geometry.

E = -6.6416 eV/atom
Fermi-level density of states = 1.111 states/eV/atom
energy relative to the elements, uncorrected = -4.1 kcal/mol of atoms

Unit cell a=2.6678 b=2.6678 c=23.7834 alpha=90.00 beta=90.00 gamma=120.00
Space group R-3m (No. 166, hexagonal axes)
Unique sites:
Si1 0.0000 0.0000 0.0000
Ni1 0.0000 0.0000 0.2585
Ir1 0.0000 0.0000 0.5000

10.
VASP calculation (PBE) on crystalline NaSnHg2H at its relaxed geometry.

E = -1.7701 eV/atom
Fermi-level density of states = 0.359 states/eV/atom
relative energy among the computed polymorphs = 0.0 meV/atom

Unit cell a=5.7835 b=5.7835 c=3.8199 alpha=90.00 beta=90.00 gamma=90.00
Space group P4/mmm (No. 123)
Unique sites:
Na1 0.0000 0.0000 0.0000
Sn1 0.5000 0.5000 0.5000
Hg1 0.0000 0.5000 0.5000
H1 0.5000 0.5000 0.0000

11.
VASP calculation (PBE) on crystalline KLi2CdCu at its relaxed geometry.

E = -1.9110 eV/atom
Fermi-level density of states = 0.483 states/eV/atom
energy of formation = 76 meV/atom
relative energy among the computed polymorphs = 0.0 meV/atom

Unit cell a=5.0961 b=5.0961 c=5.1333 alpha=90.00 beta=90.00 gamma=90.00
Space group P4/mmm (No. 123)
Unique sites:
K1 0.0000 0.0000 0.0000
Li1 0.0000 0.5000 0.5000
Cd1 0.5000 0.5000 0.0000
Cu1 0.5000 0.5000 0.5000